Entry 1:
SbPbSe2N after structural relaxation. Source: Alexandria via LeMat-Bulk, functional PBE.

abc: 5.566 5.566 4.258
angles: 90.00 90.00 90.00
Sites, in units of the cell vectors:
Pb (0.000, 0.000, 0.000)
Sb (0.500, 0.500, 0.500)
Se (0.000, 0.500, 0.000)
Se (0.500, 0.000, 0.000)
N (0.000, 0.000, 0.500)

Values from the calculation:
* space-group type: P4/mmm, No. 123
* formation energy (no corrections): 1.025 eV per atom
* density of states at the Fermi level: 8.16 states/eV/f.u.
* crystal system: tetragonal
* ρ: 6.31 g/cm3
* DFT total energy: -3.60 eV/atom

Entry 2:
Rb2CaGe2S6 after structural relaxation. Source: Alexandria via LeMat-Bulk, functional PBE.

abc: 7.216 7.164 8.596
angles: 112.15 90.00 120.24
Sites, in units of the cell vectors:
Rb (0.699, 0.398, 0.188)
Rb (0.301, 0.602, 0.812)
Ca (0.500, 0.000, 0.500)
Ge (0.945, 0.891, 0.721)
Ge (0.055, 0.109, 0.279)
S (0.757, 0.514, 0.631)
S (0.205, 0.906, 0.221)
S (0.299, 0.094, 0.779)
S (0.795, 0.094, 0.779)
S (0.701, 0.906, 0.221)
S (0.243, 0.486, 0.369)

Values from the calculation:
* space-group type: C2/m, No. 12
* formation energy (no corrections): -0.885 eV per atom
* density of states at the Fermi level: 0.00 states/eV/f.u.
* crystal system: monoclinic
* ρ: 2.64 g/cm3
* DFT total energy: -4.33 eV/atom

Entry 3:
InBr3O after structural relaxation. Source: Alexandria via LeMat-Bulk, functional PBE.

abc: 4.909 4.909 4.909
angles: 90.00 90.00 90.00
Sites, in units of the cell vectors:
O (0.000, 0.000, 0.000)
Br (0.000, 0.500, 0.000)
Br (0.000, 0.000, 0.500)
Br (0.500, 0.000, 0.000)
In (0.500, 0.500, 0.500)

Values from the calculation:
* space-group type: Pm-3m, No. 221
* formation energy (no corrections): 0.148 eV per atom
* density of states at the Fermi level: 2.82 states/eV/f.u.
* crystal system: cubic
* ρ: 5.20 g/cm3
* DFT total energy: -2.40 eV/atom

Entry 4:
OsRu2 after structural relaxation. Source: Alexandria via LeMat-Bulk, functional PBE.

abc: 3.348 5.124 3.348
angles: 90.00 120.00 90.00
Sites, in units of the cell vectors:
Os (0.000, 0.000, 0.000)
Ru (0.667, 0.298, 0.333)
Ru (0.333, 0.702, 0.667)

Values from the calculation:
* space-group type: P-3m1, No. 164
* density of states at the Fermi level: 3.04 states/eV/f.u.
* crystal system: trigonal
* ρ: 13.10 g/cm3
* calculated formation energy: 339 kJ/mol of formula units
* DFT total energy: -8.76 eV/atom

Entry 5:
Ac2NpPdS5 after structural relaxation. Source: Alexandria via LeMat-Bulk, functional PBE.

abc: 4.074 8.659 12.470
angles: 90.00 90.00 103.61
Sites, in units of the cell vectors:
Ac (0.887, 0.774, 0.846)
Ac (0.120, 0.240, 0.699)
Ac (0.113, 0.226, 0.346)
Ac (0.880, 0.760, 0.199)
Np (0.821, 0.642, 0.524)
Np (0.179, 0.358, 0.024)
Pd (0.555, 0.110, 0.922)
Pd (0.445, 0.890, 0.422)
S (0.342, 0.684, 0.021)
S (0.697, 0.393, 0.872)
S (0.495, 0.990, 0.745)
S (0.304, 0.609, 0.675)
S (0.978, 0.957, 0.520)
S (0.658, 0.316, 0.521)
S (0.303, 0.607, 0.372)
S (0.505, 0.010, 0.245)
S (0.696, 0.391, 0.175)
S (0.022, 0.043, 0.020)

Values from the calculation:
* space-group type: Cmc2_1, No. 36
* formation energy (no corrections): -1.618 eV per atom
* density of states at the Fermi level: 8.64 states/eV/f.u.
* crystal system: orthorhombic
* ρ: 7.44 g/cm3
* DFT total energy: -6.84 eV/atom

Entry 6:
PuPa2Tl after structural relaxation. Source: Alexandria via LeMat-Bulk, functional PBE.

abc: 5.224 5.224 5.226
angles: 60.01 60.01 60.00
Sites, in units of the cell vectors:
Tl (0.000, 0.000, 0.000)
Pa (0.250, 0.250, 0.250)
Pa (0.750, 0.750, 0.750)
Pu (0.500, 0.500, 0.500)

Values from the calculation:
* space-group type: Fm-3m, No. 225
* density of states at the Fermi level: 5.55 states/eV/f.u.
* crystal system: cubic
* ρ: 14.99 g/cm3
* calculated formation energy: 76 kJ/mol of formula units
* DFT total energy: -8.72 eV/atom

Entry 7:
TeWSe after structural relaxation. Source: Alexandria via LeMat-Bulk, functional PBE.

abc: 3.435 3.435 14.615
angles: 90.00 90.00 120.00
Sites, in units of the cell vectors:
Te (0.333, 0.667, 0.679)
Te (0.333, 0.667, 0.424)
W (0.333, 0.667, 0.051)
W (0.667, 0.333, 0.551)
Se (0.667, 0.333, 0.938)
Se (0.667, 0.333, 0.163)

Values from the calculation:
* space-group type: P3m1, No. 156
* formation energy (no corrections): -0.294 eV per atom
* crystal system: trigonal
* ρ: 8.68 g/cm3
* DFT total energy: -6.82 eV/atom

Entry 8:
Ba2Mg12Cd7 after structural relaxation. Source: Alexandria via LeMat-Bulk, functional PBE.

abc: 4.707 11.547 11.547
angles: 120.00 90.00 90.00
Sites, in units of the cell vectors:
Ba (0.500, 0.000, 0.000)
Ba (0.000, 0.667, 0.333)
Mg (0.500, 0.924, 0.619)
Mg (0.500, 0.695, 0.076)
Mg (0.500, 0.381, 0.305)
Mg (0.500, 0.244, 0.776)
Mg (0.500, 0.532, 0.756)
Mg (0.500, 0.224, 0.468)
Mg (0.000, 0.049, 0.524)
Mg (0.000, 0.476, 0.951)
Mg (0.000, 0.476, 0.524)
Mg (0.000, 0.792, 0.712)
Mg (0.000, 0.920, 0.208)
Mg (0.000, 0.288, 0.080)
Cd (0.000, 0.333, 0.667)
Cd (0.000, 0.084, 0.799)
Cd (0.000, 0.715, 0.916)
Cd (0.000, 0.201, 0.285)
Cd (0.500, 0.643, 0.561)
Cd (0.500, 0.918, 0.357)
Cd (0.500, 0.439, 0.082)

Values from the calculation:
* space-group type: P-6, No. 174
* density of states at the Fermi level: 10.60 states/eV/f.u.
* crystal system: hexagonal
* ρ: 4.13 g/cm3
* calculated formation energy: -288 kJ/mol of formula units
* DFT total energy: -1.54 eV/atom

Entry 9:
TiTc2Cl after structural relaxation. Source: Alexandria via LeMat-Bulk, functional PBE.

abc: 4.390 4.390 4.390
angles: 60.00 60.00 60.00
Sites, in units of the cell vectors:
Cl (0.000, 0.000, 0.000)
Tc (0.250, 0.250, 0.250)
Tc (0.750, 0.750, 0.750)
Ti (0.500, 0.500, 0.500)

Values from the calculation:
* space-group type: Fm-3m, No. 225
* formation energy (no corrections): 0.616 eV per atom
* density of states at the Fermi level: 3.33 states/eV/f.u.
* crystal system: cubic
* ρ: 7.75 g/cm3
* DFT total energy: -7.00 eV/atom

Entry 10:
MgFeCo2 after structural relaxation. Source: Alexandria via LeMat-Bulk, functional PBE.

abc: 2.884 2.884 6.086
angles: 90.00 90.00 90.00
Sites, in units of the cell vectors:
Mg (0.500, 0.500, 0.750)
Co (0.000, 0.000, 0.033)
Co (0.000, 0.000, 0.467)
Fe (0.500, 0.500, 0.250)

Values from the calculation:
* space-group type: P4/mmm, No. 123
* density of states at the Fermi level: 4.52 states/eV/f.u.
* crystal system: tetragonal
* ρ: 6.50 g/cm3
* calculated formation energy: 14 kJ/mol of formula units
* DFT total energy: -6.03 eV/atom

Entry 11:
CuSi2RuF after structural relaxation. Source: Alexandria via LeMat-Bulk, functional PBE.

abc: 4.198 3.868 4.198
angles: 90.00 90.00 90.00
Sites, in units of the cell vectors:
Ru (0.500, 0.500, 0.500)
Si (0.000, 0.000, 0.500)
Si (0.500, 0.000, 0.000)
Cu (0.000, 0.500, 0.000)
F (0.000, 0.000, 0.000)

Values from the calculation:
* space-group type: P4/mmm, No. 123
* formation energy (no corrections): 0.371 eV per atom
* density of states at the Fermi level: 1.71 states/eV/f.u.
* crystal system: tetragonal
* ρ: 5.84 g/cm3
* DFT total energy: -4.85 eV/atom

Entry 12:
Ac3PrNd6 after structural relaxation. Source: Alexandria via LeMat-Bulk, functional PBE.

abc: 10.272 10.272 7.335
angles: 45.56 45.56 60.00
Sites, in units of the cell vectors:
Ac (0.350, 0.350, 0.950)
Ac (0.609, 0.609, 0.174)
Ac (0.092, 0.092, 0.725)
Pr (0.850, 0.850, 0.450)
Nd (0.925, 0.598, 0.220)
Nd (0.257, 0.925, 0.220)
Nd (0.598, 0.257, 0.220)
Nd (0.103, 0.442, 0.680)
Nd (0.775, 0.103, 0.680)
Nd (0.442, 0.775, 0.680)

Values from the calculation:
* space-group type: R-3, No. 148
* density of states at the Fermi level: 24.34 states/eV/f.u.
* crystal system: trigonal
* ρ: 7.10 g/cm3
* calculated formation energy: 333 kJ/mol of formula units
* DFT total energy: -4.23 eV/atom